# 1
# TbNd2Sm4Dy2 | the Alexandria database | PBE | relaxed
# formation enthalpy at 0 K: 0.0139 eV per atom
# DOS at the Fermi energy: 12.0 states/eV per cell
# M_tot: 0.000 μB per atom
# calculated volume: 300 Å³/cell
# total energy: -4.680 eV per atom
data_TbNd2Sm4Dy2
_space_group_name_H-M_alt 'P -1'
_space_group_IT_number 2
_cell_length_a 6.249
_cell_length_b 6.260
_cell_length_c 8.084
_cell_angle_alpha 82.67
_cell_angle_beta 75.08
_cell_angle_gamma 80.37
loop_
_space_group_symop_operation_xyz
'x,y,z'
'-x,-y,-z'
loop_
_atom_site_label
_atom_site_type_symbol
_atom_site_fract_x
_atom_site_fract_y
_atom_site_fract_z
Tb1 Tb 0.000 0.000 0.000
Nd1 Nd 0.333 0.668 0.667
Sm1 Sm 0.222 0.446 0.112
Sm2 Sm 0.444 0.890 0.222
Dy1 Dy 0.110 0.223 0.555

# 2
# TbNdSm2Dy2 | the Alexandria database | PBE | relaxed
# formation enthalpy at 0 K: 0.2665 eV per atom
# DOS at the Fermi energy: 19.8 states/eV per cell
# M_tot: 0.000 μB per atom
# calculated volume: 406 Å³/cell
# total energy: -4.407 eV per atom
data_TbNdSm2Dy2
_space_group_name_H-M_alt 'P n n m'
_space_group_IT_number 58
_cell_length_a 6.630
_cell_length_b 17.959
_cell_length_c 3.410
_cell_angle_alpha 90.00
_cell_angle_beta 90.00
_cell_angle_gamma 90.00
loop_
_space_group_symop_operation_xyz
'x,y,z'
'-x,-y,-z'
'-x,-y,z'
'x,y,-z'
'x+1/2,-y+1/2,-z+1/2'
'-x+1/2,y+1/2,z+1/2'
'-x+1/2,y+1/2,-z+1/2'
'x+1/2,-y+1/2,z+1/2'
loop_
_atom_site_label
_atom_site_type_symbol
_atom_site_fract_x
_atom_site_fract_y
_atom_site_fract_z
Tb1 Tb 0.000 0.000 0.000
Nd1 Nd 0.000 0.500 0.000
Sm1 Sm 0.231 0.185 0.000
Dy1 Dy 0.230 0.352 0.500

# 3
# Tb3Nd2SmDy6 | the Alexandria database | PBE | relaxed
# formation enthalpy at 0 K: 0.0151 eV per atom
# DOS at the Fermi energy: 30.2 states/eV per cell
# M_tot: 0.000 μB per atom
# calculated volume: 775 Å³/cell
# total energy: -4.631 eV per atom
data_Tb3Nd2SmDy6
_space_group_name_H-M_alt 'C 1 2/m 1'
_space_group_IT_number 12
_cell_length_a 6.200
_cell_length_b 10.733
_cell_length_c 11.829
_cell_angle_alpha 90.00
_cell_angle_beta 100.02
_cell_angle_gamma 90.00
loop_
_space_group_symop_operation_xyz
'x,y,z'
'-x,-y,-z'
'-x,y,-z'
'x,-y,z'
'x+1/2,y+1/2,z'
'-x+1/2,-y+1/2,-z'
'-x+1/2,y+1/2,-z'
'x+1/2,-y+1/2,z'
loop_
_atom_site_label
_atom_site_type_symbol
_atom_site_fract_x
_atom_site_fract_y
_atom_site_fract_z
Tb1 Tb 0.000 0.000 0.000
Tb2 Tb 0.000 0.333 0.000
Nd1 Nd 0.000 0.167 0.500
Sm1 Sm 0.000 0.500 0.500
Dy1 Dy 0.248 0.500 0.247
Dy2 Dy 0.249 0.167 0.247

# 4
# TbNd5Sm2Dy | the Alexandria database | PBE | relaxed
# formation enthalpy at 0 K: 0.2810 eV per atom
# DOS at the Fermi energy: 57.4 states/eV per cell
# M_tot: 0.000 μB per atom
# calculated volume: 1244 Å³/cell
# total energy: -4.442 eV per atom
data_TbNd5Sm2Dy
_space_group_name_H-M_alt 'I 4/m c m'
_space_group_IT_number 140
_space_group_name_Hall '-I 4 2c'
_cell_length_a 8.707
_cell_length_b 8.707
_cell_length_c 16.403
_cell_angle_alpha 90.00
_cell_angle_beta 90.00
_cell_angle_gamma 90.00
loop_
_atom_site_label
_atom_site_type_symbol
_atom_site_fract_x
_atom_site_fract_y
_atom_site_fract_z
Tb1 Tb 0.000 0.500 0.250
Nd1 Nd 0.000 0.000 0.000
Nd2 Nd 0.211 0.289 0.141
Sm1 Sm 0.120 0.380 0.500
Dy1 Dy 0.000 0.000 0.250

# 5
# Tb3NdSm2Dy6 | the Alexandria database | PBE | relaxed
# formation enthalpy at 0 K: 0.0148 eV per atom
# DOS at the Fermi energy: 30.3 states/eV per cell
# M_tot: 0.000 μB per atom
# calculated volume: 772 Å³/cell
# total energy: -4.628 eV per atom
data_Tb3NdSm2Dy6
_space_group_name_H-M_alt 'C 1 2/m 1'
_space_group_IT_number 12
_cell_length_a 6.191
_cell_length_b 10.717
_cell_length_c 11.816
_cell_angle_alpha 90.00
_cell_angle_beta 100.01
_cell_angle_gamma 90.00
loop_
_space_group_symop_operation_xyz
'x,y,z'
'-x,-y,-z'
'-x,y,-z'
'x,-y,z'
'x+1/2,y+1/2,z'
'-x+1/2,-y+1/2,-z'
'-x+1/2,y+1/2,-z'
'x+1/2,-y+1/2,z'
loop_
_atom_site_label
_atom_site_type_symbol
_atom_site_fract_x
_atom_site_fract_y
_atom_site_fract_z
Tb1 Tb 0.000 0.000 0.000
Tb2 Tb 0.000 0.333 0.000
Nd1 Nd 0.000 0.500 0.500
Sm1 Sm 0.000 0.167 0.500
Dy1 Dy 0.249 0.167 0.248
Dy2 Dy 0.249 0.500 0.248

# 6
# TbNdSm5Dy2 | the Alexandria database | PBE | relaxed
# formation enthalpy at 0 K: 0.1476 eV per atom
# DOS at the Fermi energy: 56.4 states/eV per cell
# M_tot: 0.000 μB per atom
# calculated volume: 1227 Å³/cell
# total energy: -4.541 eV per atom
data_TbNdSm5Dy2
_space_group_name_H-M_alt 'C m c 21'
_space_group_IT_number 36
_cell_length_a 5.661
_cell_length_b 20.240
_cell_length_c 10.706
_cell_angle_alpha 90.00
_cell_angle_beta 90.00
_cell_angle_gamma 90.00
loop_
_space_group_symop_operation_xyz
'x,y,z'
'-x,-y,z+1/2'
'-x,y,z'
'x,-y,z+1/2'
'x+1/2,y+1/2,z'
'-x+1/2,-y+1/2,z+1/2'
'-x+1/2,y+1/2,z'
'x+1/2,-y+1/2,z+1/2'
loop_
_atom_site_label
_atom_site_type_symbol
_atom_site_fract_x
_atom_site_fract_y
_atom_site_fract_z
Tb1 Tb 0.000 0.088 0.000
Nd1 Nd 0.000 0.298 0.555
Sm1 Sm 0.000 0.021 0.285
Sm2 Sm 0.000 0.107 0.570
Sm3 Sm 0.000 0.202 0.250
Sm4 Sm 0.000 0.218 0.853
Sm5 Sm 0.000 0.483 0.569
Dy1 Dy 0.000 0.384 0.865
Dy2 Dy 0.000 0.390 0.281

# 7
# TbNdSmDy2 | the Alexandria database | PBE | relaxed
# formation enthalpy at 0 K: 0.3813 eV per atom
# DOS at the Fermi energy: 32.8 states/eV per cell
# M_tot: 0.000 μB per atom
# calculated volume: 701 Å³/cell
# total energy: -4.283 eV per atom
data_TbNdSmDy2
_space_group_name_H-M_alt 'C m c m'
_space_group_IT_number 63
_space_group_name_Hall '-C 2c 2'
_cell_length_a 8.439
_cell_length_b 11.575
_cell_length_c 7.176
_cell_angle_alpha 90.00
_cell_angle_beta 90.00
_cell_angle_gamma 90.00
loop_
_atom_site_label
_atom_site_type_symbol
_atom_site_fract_x
_atom_site_fract_y
_atom_site_fract_z
Tb1 Tb 0.000 0.225 0.250
Nd1 Nd 0.000 0.228 0.750
Sm1 Sm 0.000 0.498 0.750
Dy1 Dy 0.188 0.000 0.000

# 8
# TbNd2Sm6Dy3 | the Alexandria database | PBE | relaxed
# formation enthalpy at 0 K: 0.0145 eV per atom
# DOS at the Fermi energy: 31.9 states/eV per cell
# M_tot: 0.000 μB per atom
# calculated volume: 798 Å³/cell
# total energy: -4.676 eV per atom
data_TbNd2Sm6Dy3
_space_group_name_H-M_alt 'C 1 2/m 1'
_space_group_IT_number 12
_cell_length_a 6.256
_cell_length_b 10.832
_cell_length_c 11.961
_cell_angle_alpha 90.00
_cell_angle_beta 100.03
_cell_angle_gamma 90.00
loop_
_space_group_symop_operation_xyz
'x,y,z'
'-x,-y,-z'
'-x,y,-z'
'x,-y,z'
'x+1/2,y+1/2,z'
'-x+1/2,-y+1/2,-z'
'-x+1/2,y+1/2,-z'
'x+1/2,-y+1/2,z'
loop_
_atom_site_label
_atom_site_type_symbol
_atom_site_fract_x
_atom_site_fract_y
_atom_site_fract_z
Tb1 Tb 0.000 0.000 0.000
Nd1 Nd 0.000 0.333 0.000
Sm1 Sm 0.248 0.000 0.747
Sm2 Sm 0.250 0.166 0.253
Dy1 Dy 0.000 0.166 0.500
Dy2 Dy 0.000 0.500 0.500

# 9
# TbNd6Sm2Dy | the Alexandria database | PBE | relaxed
# formation enthalpy at 0 K: 0.1145 eV per atom
# DOS at the Fermi energy: 58.0 states/eV per cell
# M_tot: 0.000 μB per atom
# calculated volume: 1383 Å³/cell
# total energy: -4.613 eV per atom
data_TbNd6Sm2Dy
_space_group_name_H-M_alt 'C 1 2/c 1'
_space_group_IT_number 15
_cell_length_a 9.253
_cell_length_b 15.419
_cell_length_c 9.792
_cell_angle_alpha 90.00
_cell_angle_beta 98.15
_cell_angle_gamma 90.00
loop_
_space_group_symop_operation_xyz
'x,y,z'
'-x,-y,-z'
'-x,y,-z+1/2'
'x,-y,z+1/2'
'x+1/2,y+1/2,z'
'-x+1/2,-y+1/2,-z'
'-x+1/2,y+1/2,-z+1/2'
'x+1/2,-y+1/2,z+1/2'
loop_
_atom_site_label
_atom_site_type_symbol
_atom_site_fract_x
_atom_site_fract_y
_atom_site_fract_z
Tb1 Tb 0.000 0.023 0.250
Nd1 Nd 0.062 0.182 0.946
Nd2 Nd 0.102 0.394 0.119
Nd3 Nd 0.208 0.222 0.312
Sm1 Sm 0.247 0.050 0.544
Dy1 Dy 0.000 0.409 0.750

# 10
# TbNd3SmDy | the Alexandria database | PBE | relaxed
# formation enthalpy at 0 K: 0.0160 eV per atom
# DOS at the Fermi energy: 34.6 states/eV per cell
# M_tot: 0.000 μB per atom
# calculated volume: 811 Å³/cell
# total energy: -4.693 eV per atom
data_TbNd3SmDy
_space_group_name_H-M_alt 'C m c m'
_space_group_IT_number 63
_space_group_name_Hall '-C 2c 2'
_cell_length_a 5.128
_cell_length_b 15.428
_cell_length_c 10.251
_cell_angle_alpha 90.00
_cell_angle_beta 90.00
_cell_angle_gamma 90.00
loop_
_atom_site_label
_atom_site_type_symbol
_atom_site_fract_x
_atom_site_fract_y
_atom_site_fract_z
Tb1 Tb 0.000 0.165 0.250
Nd1 Nd 0.000 0.166 0.750
Nd2 Nd 0.000 0.334 0.000
Sm1 Sm 0.000 0.000 0.000
Dy1 Dy 0.000 0.499 0.750